Entry from Alexandria: crystalline PuCoPt at its relaxed geometry (GGA-PBE).

The structure belongs to space group P-6m2 (No. 187); the cell edges are 4.1939, 4.1939 and 3.7869 Å and the angles 90.00°, 90.00° and 120.00°. The inequivalent atoms are Pu at (0.0000, 0.0000, 0.0000), Co at (0.3333, 0.6667, 0.5000) and Pt at (0.6667, 0.3333, 0.5000).

Its crystal system is hexagonal. As for the total energy: -9.52 eV/atom. The calculated volume comes out at 19.2 Å³ per atom. Its total magnetic moment is 4.2 μB per formula unit.

Entry from Alexandria: crystalline Cd4BiN2 at its relaxed geometry (GGA-PBE).

The structure belongs to space group Immm (No. 71); the cell edges are 3.5764, 4.3908 and 18.8636 Å and the angles 90.00°, 90.00° and 90.00°. The inequivalent atoms are Cd at (0.0000, 0.0000, 0.1104), Cd at (0.0000, 0.0000, 0.2860), Bi at (0.0000, 0.5000, 0.0000) and N at (0.0000, 0.5000, 0.3106).

As for the formation energy without anion corrections: 41.3 kJ per mole of atoms. Its crystal system is orthorhombic. The calculated volume comes out at 21.2 Å³ per atom. Its total magnetic moment is 0.0 μB per formula unit.

Entry from Alexandria: crystalline NaSiI at its relaxed geometry (GGA-PBE).

The structure belongs to space group C2/m (No. 12); the cell edges are 6.2199, 5.2767 and 13.0427 Å and the angles 90.00°, 102.02° and 90.00°. The inequivalent atoms are Na at (0.2131, 0.0000, 0.4126), Si at (0.1870, 0.0000, 0.9998) and I at (0.1778, 0.5000, 0.3346).

As for the formation energy without anion corrections: -20.9 kJ per mole of atoms. Its crystal system is monoclinic. The calculated volume comes out at 34.9 Å³ per atom. Its total magnetic moment is 0.0 μB per formula unit.

Entry from Alexandria: crystalline CuTc4 at its relaxed geometry (GGA-PBE).

The structure belongs to space group Pm-3m (No. 221); the cell edges are 4.3752, 4.3752 and 4.3752 Å and the angles 90.00°, 90.00° and 90.00°. The inequivalent atoms are Cu at (0.0000, 0.0000, 0.0000), Tc at (0.0000, 0.0000, 0.5000) and Tc at (0.5000, 0.5000, 0.5000).

Its crystal system is cubic. The calculated volume comes out at 16.8 Å³ per atom. The calculation puts the energy relative to the lowest polymorph listed for this composition at 158.0 kJ/mol of atoms. Its total magnetic moment is 0.4 μB per formula unit.

Entry from Alexandria: crystalline Sr2PrSi6 at its relaxed geometry (GGA-PBE).

The structure belongs to space group P6/mmm (No. 191); the cell edges are 7.1690, 7.1690 and 4.4740 Å and the angles 90.00°, 90.00° and 120.00°. The inequivalent atoms are Sr at (0.3333, 0.6667, 0.0000), Pr at (0.0000, 0.0000, 0.0000) and Si at (0.0000, 0.3305, 0.5000).

As for the formation energy without anion corrections: -37.4 kJ per mole of atoms. Its crystal system is hexagonal. The calculated volume comes out at 22.1 Å³ per atom. Its total magnetic moment is 0.0 μB per formula unit.

Entry from Alexandria: crystalline Rb3U3CrS8 at its relaxed geometry (GGA-PBE).

The structure belongs to space group R-3m (No. 166, hexagonal axes); the cell edges are 7.8712, 7.8712 and 23.6639 Å and the angles 90.00°, 90.00° and 120.00°. The inequivalent atoms are Rb at (0.0000, 0.5000, 0.0000), U at (0.0000, 0.5000, 0.5000), Cr at (0.0000, 0.0000, 0.5000), S at (0.0000, 0.0000, 0.2321) and S at (0.0127, 0.5063, 0.2272).

As for the formation energy without anion corrections: -121.7 kJ per mole of atoms. Its crystal system is trigonal. The calculated volume comes out at 28.2 Å³ per atom. Its total magnetic moment is 11.0 μB per formula unit.